1.
The following is a DFT calculation (PBE) of TbNi3Sn3 after structural relaxation.

a b c (Å): 8.0250 8.0250 6.8723
angles (deg): 54.28 54.28 60.00
Last column: nearest neighbours and their distance in Å.
Positions (direct):
Tb 0.3301 0.3301 0.0097  6 Ni 2.73-2.79
Tb 0.6699 0.6699 0.9903  6 Ni 2.73-2.79
Ni 0.2909 0.5907 0.1739  4 Sn 2.55-2.77, 2 Tb 2.73-2.79
Ni 0.9445 0.2909 0.1739  4 Sn 2.55-2.77, 2 Tb 2.73-2.79
Ni 0.5907 0.9445 0.1739  4 Sn 2.55-2.77, 2 Tb 2.73-2.79
Ni 0.4093 0.0555 0.8261  4 Sn 2.55-2.77, 2 Tb 2.73-2.79
Ni 0.0555 0.7091 0.8261  4 Sn 2.55-2.77, 2 Tb 2.73-2.79
Ni 0.7091 0.4093 0.8261  4 Sn 2.55-2.77, 2 Tb 2.73-2.79
Sn 0.3946 0.8116 0.6742  4 Ni 2.55-2.77
Sn 0.8116 0.1195 0.6742  4 Ni 2.55-2.77
Sn 0.1195 0.3946 0.6742  4 Ni 2.55-2.77
Sn 0.8805 0.6054 0.3258  4 Ni 2.55-2.77
Sn 0.1884 0.8805 0.3258  4 Ni 2.55-2.77
Sn 0.6054 0.1884 0.3258  4 Ni 2.55-2.77

Its density of states at the Fermi level is 1.51 states/eV/f.u. The excess energy over the best structure of this formula in the dataset is 0.000 eV/f.u. As for the crystal system: trigonal. The space-group type is R-3 (148). The calculation puts the calculated total energy at -35.865 eV/f.u.

2.
The following is a DFT calculation (PBE) of Tb12Ni6Sn after structural relaxation.

a b c (Å): 8.4481 8.4481 8.4481
angles (deg): 109.47 109.47 109.47
Last column: nearest neighbours and their distance in Å.
Positions (direct):
Tb 0.3045 0.1172 0.8128  3 Ni 2.66-2.90
Tb 0.3045 0.4917 0.1872  3 Ni 2.66-2.90
Tb 0.6955 0.5083 0.8128  3 Ni 2.66-2.90
Tb 0.6955 0.8828 0.1872  3 Ni 2.66-2.90
Tb 0.1172 0.8128 0.3045  3 Ni 2.66-2.90
Tb 0.4917 0.1872 0.3045  3 Ni 2.66-2.90
Tb 0.5083 0.8128 0.6955  3 Ni 2.66-2.90
Tb 0.8828 0.1872 0.6955  3 Ni 2.66-2.90
Tb 0.8128 0.3045 0.1172  3 Ni 2.66-2.90
Tb 0.1872 0.3045 0.4917  3 Ni 2.66-2.90
Tb 0.8128 0.6955 0.5083  3 Ni 2.66-2.90
Tb 0.1872 0.6955 0.8828  3 Ni 2.66-2.90
Ni 0.3769 0.5000 0.8769  1 Ni 2.40, 2 Tb 2.66
Ni 0.6231 0.5000 0.1231  1 Ni 2.40, 2 Tb 2.66
Ni 0.5000 0.8769 0.3769  1 Ni 2.40, 2 Tb 2.66
Ni 0.5000 0.1231 0.6231  1 Ni 2.40, 2 Tb 2.66
Ni 0.8769 0.3769 0.5000  1 Ni 2.40, 2 Tb 2.66
Ni 0.1231 0.6231 0.5000  1 Ni 2.40, 2 Tb 2.66
Sn 0.0000 0.0000 0.0000  12 Tb 3.49

Its density of states at the Fermi level is 19.85 states/eV/f.u. As for the crystal system: cubic. The space-group type is Im-3 (204). The calculation puts the calculated total energy at -101.691 eV/f.u.

3.
The following is a DFT calculation (PBE) of Tb2NiSn after structural relaxation.

a b c (Å): 3.4825 3.4825 7.6597
angles (deg): 90.00 90.00 90.00
Last column: nearest neighbours and their distance in Å.
Positions (direct):
Ni 0.5000 0.5000 0.0000  8 Tb 2.96
Tb 0.0000 0.0000 0.7863  4 Ni 2.96, 1 Tb 3.27, 4 Sn 3.30
Tb 0.0000 0.0000 0.2137  4 Ni 2.96, 1 Tb 3.27, 4 Sn 3.30
Sn 0.5000 0.5000 0.5000  8 Tb 3.30, 4 Sn 3.48

Its density of states at the Fermi level is 2.10 states/eV/f.u. The excess energy over the best structure of this formula in the dataset is 0.000 eV/f.u. As for the crystal system: tetragonal. The space-group type is P4/mmm (123). The calculation puts the calculated total energy at -21.071 eV/f.u.

4.
The following is a DFT calculation (PBE) of TbNi3Sn after structural relaxation.

a b c (Å): 4.4602 4.7992 8.6956
angles (deg): 73.98 90.00 90.00
Last column: nearest neighbours and their distance in Å.
Positions (direct):
Tb 0.7500 0.4160 0.1679  2 Ni 2.60
Tb 0.2500 0.5840 0.8321  2 Ni 2.60
Ni 0.7500 0.5417 0.4397  4 Ni 2.29-2.51
Ni 0.7500 0.0186 0.4397  4 Ni 2.29-2.51
Ni 0.2500 0.9814 0.5603  4 Ni 2.29-2.51
Ni 0.2500 0.4583 0.5603  4 Ni 2.29-2.51
Ni 0.0000 0.0000 0.0000  2 Ni 2.23
Ni 0.5000 0.0000 0.0000  2 Ni 2.23
Sn 0.7500 0.1442 0.7116  8 Ni 2.60-2.81
Sn 0.2500 0.8558 0.2884  8 Ni 2.60-2.81

Its density of states at the Fermi level is 4.13 states/eV/f.u. As for the crystal system: orthorhombic. The space-group type is Cmcm (63). The calculation puts the calculated total energy at -26.531 eV/f.u.